# 1
# AcCu6P4, relaxed, DFT PBE
data_AcCu6P4
_chemical_formula_sum 'Ac1 Cu6 P4'
_cell_length_a 6.220
_cell_length_b 6.220
_cell_length_c 6.220
_cell_angle_alpha 116.13
_cell_angle_beta 116.13
_cell_angle_gamma 96.84
_symmetry_space_group_name_H-M 'P 1'
_symmetry_Int_Tables_number 1
loop_
_symmetry_equiv_pos_as_xyz
'x,y,z'
loop_
_atom_site_label
_atom_site_type_symbol
_atom_site_fract_x
_atom_site_fract_y
_atom_site_fract_z
_atom_site_occupancy
Ac1 Ac 0.000 0.000 0.000 1
Cu1 Cu 0.000 0.500 0.500 1
Cu2 Cu 0.231 0.231 0.707 1
Cu3 Cu 0.476 0.769 0.000 1
Cu4 Cu 0.500 0.000 0.500 1
Cu5 Cu 0.524 0.524 0.293 1
Cu6 Cu 0.769 0.476 0.000 1
P1 P 0.137 0.552 0.000 1
P2 P 0.448 0.448 0.585 1
P3 P 0.552 0.137 0.000 1
P4 P 0.863 0.863 0.415 1
# Symmetry: I-42m
# ΔE to the lowest computed polymorph, kJ/mol of atoms: 12.55

# 2
# AcCu3P3, relaxed, DFT PBE
data_AcCu3P3
_chemical_formula_sum 'Ac2 Cu6 P6'
_cell_length_a 8.140
_cell_length_b 8.140
_cell_length_c 8.140
_cell_angle_alpha 48.83
_cell_angle_beta 48.83
_cell_angle_gamma 48.83
_symmetry_space_group_name_H-M 'P 1'
_symmetry_Int_Tables_number 1
loop_
_symmetry_equiv_pos_as_xyz
'x,y,z'
loop_
_atom_site_label
_atom_site_type_symbol
_atom_site_fract_x
_atom_site_fract_y
_atom_site_fract_z
_atom_site_occupancy
Ac1 Ac 0.167 0.167 0.167 1
Ac2 Ac 0.833 0.833 0.833 1
Cu1 Cu 0.036 0.373 0.704 1
Cu2 Cu 0.296 0.964 0.627 1
Cu3 Cu 0.373 0.704 0.036 1
Cu4 Cu 0.627 0.296 0.964 1
Cu5 Cu 0.704 0.036 0.373 1
Cu6 Cu 0.964 0.627 0.296 1
P1 P 0.077 0.734 0.401 1
P2 P 0.266 0.599 0.923 1
P3 P 0.401 0.077 0.734 1
P4 P 0.599 0.923 0.266 1
P5 P 0.734 0.401 0.077 1
P6 P 0.923 0.266 0.599 1
# Symmetry: R-3
# ΔE to the lowest computed polymorph, kJ/mol of atoms: 8.56

# 3
# AcCu6P4, relaxed, DFT PBE
data_AcCu6P4
_chemical_formula_sum 'Ac1 Cu6 P4'
_cell_length_a 11.682
_cell_length_b 11.682
_cell_length_c 11.682
_cell_angle_alpha 160.68
_cell_angle_beta 160.68
_cell_angle_gamma 27.46
_symmetry_space_group_name_H-M 'P 1'
_symmetry_Int_Tables_number 1
loop_
_symmetry_equiv_pos_as_xyz
'x,y,z'
loop_
_atom_site_label
_atom_site_type_symbol
_atom_site_fract_x
_atom_site_fract_y
_atom_site_fract_z
_atom_site_occupancy
Ac1 Ac 0.000 0.000 0.000 1
Cu1 Cu 0.129 0.629 0.500 1
Cu2 Cu 0.250 0.750 0.500 1
Cu3 Cu 0.371 0.871 0.500 1
Cu4 Cu 0.629 0.129 0.500 1
Cu5 Cu 0.750 0.250 0.500 1
Cu6 Cu 0.871 0.371 0.500 1
P1 P 0.190 0.190 0.000 1
P2 P 0.428 0.428 0.000 1
P3 P 0.572 0.572 0.000 1
P4 P 0.810 0.810 0.000 1
# Symmetry: I4/mmm
# ΔE to the lowest computed polymorph, kJ/mol of atoms: 0.00

# 4
# AcCuP2Pd5, relaxed, DFT PBE
data_AcCuP2Pd5
_chemical_formula_sum 'Ac1 Cu1 P2 Pd5'
_cell_length_a 4.415
_cell_length_b 4.415
_cell_length_c 8.896
_cell_angle_alpha 90.00
_cell_angle_beta 90.00
_cell_angle_gamma 90.00
_symmetry_space_group_name_H-M 'P 1'
_symmetry_Int_Tables_number 1
loop_
_symmetry_equiv_pos_as_xyz
'x,y,z'
loop_
_atom_site_label
_atom_site_type_symbol
_atom_site_fract_x
_atom_site_fract_y
_atom_site_fract_z
_atom_site_occupancy
Ac1 Ac 0.000 0.000 0.000 1
Cu1 Cu 0.000 0.000 0.500 1
P1 P 0.500 0.500 0.257 1
P2 P 0.500 0.500 0.743 1
Pd1 Pd 0.000 0.500 0.340 1
Pd2 Pd 0.000 0.500 0.660 1
Pd3 Pd 0.500 0.000 0.340 1
Pd4 Pd 0.500 0.000 0.660 1
Pd5 Pd 0.500 0.500 0.000 1
# Symmetry: P4/mmm

# 5
# AcCu2PPd2, relaxed, DFT PBE
data_AcCu2PPd2
_chemical_formula_sum 'Ac1 Cu2 P1 Pd2'
_cell_length_a 4.369
_cell_length_b 4.369
_cell_length_c 6.042
_cell_angle_alpha 90.00
_cell_angle_beta 90.00
_cell_angle_gamma 90.00
_symmetry_space_group_name_H-M 'P 1'
_symmetry_Int_Tables_number 1
loop_
_symmetry_equiv_pos_as_xyz
'x,y,z'
loop_
_atom_site_label
_atom_site_type_symbol
_atom_site_fract_x
_atom_site_fract_y
_atom_site_fract_z
_atom_site_occupancy
Ac1 Ac 0.000 0.000 0.000 1
Cu1 Cu 0.000 0.500 0.500 1
Cu2 Cu 0.500 0.000 0.500 1
P1 P 0.000 0.000 0.500 1
Pd1 Pd 0.500 0.500 0.228 1
Pd2 Pd 0.500 0.500 0.772 1
# Symmetry: P4/mmm

# 6
# AcCuP2Pd, relaxed, DFT PBE
data_AcCuP2Pd
_chemical_formula_sum 'Ac2 Cu2 P4 Pd2'
_cell_length_a 4.120
_cell_length_b 4.120
_cell_length_c 11.068
_cell_angle_alpha 90.00
_cell_angle_beta 90.00
_cell_angle_gamma 90.00
_symmetry_space_group_name_H-M 'P 1'
_symmetry_Int_Tables_number 1
loop_
_symmetry_equiv_pos_as_xyz
'x,y,z'
loop_
_atom_site_label
_atom_site_type_symbol
_atom_site_fract_x
_atom_site_fract_y
_atom_site_fract_z
_atom_site_occupancy
Ac1 Ac 0.000 0.000 0.000 1
Ac2 Ac 0.500 0.500 0.500 1
Cu1 Cu 0.000 0.500 0.250 1
Cu2 Cu 0.500 0.000 0.750 1
P1 P 0.000 0.000 0.369 1
P2 P 0.000 0.000 0.631 1
P3 P 0.500 0.500 0.131 1
P4 P 0.500 0.500 0.869 1
Pd1 Pd 0.000 0.500 0.750 1
Pd2 Pd 0.500 0.000 0.250 1
# Symmetry: I-4m2

# 7
# Ac2CuP4Pd3, relaxed, DFT PBE
data_Ac2CuP4Pd3
_chemical_formula_sum 'Ac2 Cu1 P4 Pd3'
_cell_length_a 4.402
_cell_length_b 4.402
_cell_length_c 9.728
_cell_angle_alpha 90.00
_cell_angle_beta 90.00
_cell_angle_gamma 90.00
_symmetry_space_group_name_H-M 'P 1'
_symmetry_Int_Tables_number 1
loop_
_symmetry_equiv_pos_as_xyz
'x,y,z'
loop_
_atom_site_label
_atom_site_type_symbol
_atom_site_fract_x
_atom_site_fract_y
_atom_site_fract_z
_atom_site_occupancy
Ac1 Ac 0.000 0.500 0.249 1
Ac2 Ac 0.500 0.000 0.751 1
Cu1 Cu 0.000 0.000 0.500 1
P1 P 0.000 0.000 0.000 1
P2 P 0.000 0.500 0.629 1
P3 P 0.500 0.000 0.371 1
P4 P 0.500 0.500 0.000 1
Pd1 Pd 0.000 0.500 0.889 1
Pd2 Pd 0.500 0.000 0.111 1
Pd3 Pd 0.500 0.500 0.500 1
# Symmetry: P-4m2

# 8
# AcPrCuP, relaxed, DFT PBE
data_AcPrCuP
_chemical_formula_sum 'Ac4 Pr4 Cu4 P4'
_cell_length_a 7.374
_cell_length_b 7.374
_cell_length_c 7.374
_cell_angle_alpha 90.00
_cell_angle_beta 90.00
_cell_angle_gamma 90.00
_symmetry_space_group_name_H-M 'P 1'
_symmetry_Int_Tables_number 1
loop_
_symmetry_equiv_pos_as_xyz
'x,y,z'
loop_
_atom_site_label
_atom_site_type_symbol
_atom_site_fract_x
_atom_site_fract_y
_atom_site_fract_z
_atom_site_occupancy
Ac1 Ac 0.000 0.000 0.000 1
Ac2 Ac 0.000 0.500 0.500 1
Ac3 Ac 0.500 0.000 0.500 1
Ac4 Ac 0.500 0.500 0.000 1
Pr1 Pr 0.000 0.000 0.500 1
Pr2 Pr 0.000 0.500 0.000 1
Pr3 Pr 0.500 0.000 0.000 1
Pr4 Pr 0.500 0.500 0.500 1
Cu1 Cu 0.250 0.250 0.750 1
Cu2 Cu 0.250 0.750 0.250 1
Cu3 Cu 0.750 0.250 0.250 1
Cu4 Cu 0.750 0.750 0.750 1
P1 P 0.250 0.250 0.250 1
P2 P 0.250 0.750 0.750 1
P3 P 0.750 0.250 0.750 1
P4 P 0.750 0.750 0.250 1
# Symmetry: F-43m

# 9
# Ac2CuPPt6, relaxed, DFT PBE
data_Ac2CuPPt6
_chemical_formula_sum 'Ac2 Cu1 P1 Pt6'
_cell_length_a 6.510
_cell_length_b 6.510
_cell_length_c 8.131
_cell_angle_alpha 124.83
_cell_angle_beta 124.83
_cell_angle_gamma 51.14
_symmetry_space_group_name_H-M 'P 1'
_symmetry_Int_Tables_number 1
loop_
_symmetry_equiv_pos_as_xyz
'x,y,z'
loop_
_atom_site_label
_atom_site_type_symbol
_atom_site_fract_x
_atom_site_fract_y
_atom_site_fract_z
_atom_site_occupancy
Ac1 Ac 0.228 0.228 0.188 1
Ac2 Ac 0.772 0.772 0.812 1
Cu1 Cu 0.500 0.500 0.000 1
P1 P 0.000 0.000 0.500 1
Pt1 Pt 0.247 0.731 0.719 1
Pt2 Pt 0.251 0.251 0.627 1
Pt3 Pt 0.269 0.753 0.281 1
Pt4 Pt 0.731 0.247 0.719 1
Pt5 Pt 0.749 0.749 0.373 1
Pt6 Pt 0.753 0.269 0.281 1
# Symmetry: C2/m

# 10
# Ac2CuP3Pt4, relaxed, DFT PBE
data_Ac2CuP3Pt4
_chemical_formula_sum 'Ac2 Cu1 P3 Pt4'
_cell_length_a 4.399
_cell_length_b 4.399
_cell_length_c 9.830
_cell_angle_alpha 90.00
_cell_angle_beta 90.00
_cell_angle_gamma 90.00
_symmetry_space_group_name_H-M 'P 1'
_symmetry_Int_Tables_number 1
loop_
_symmetry_equiv_pos_as_xyz
'x,y,z'
loop_
_atom_site_label
_atom_site_type_symbol
_atom_site_fract_x
_atom_site_fract_y
_atom_site_fract_z
_atom_site_occupancy
Ac1 Ac 0.000 0.500 0.248 1
Ac2 Ac 0.500 0.000 0.752 1
Cu1 Cu 0.500 0.500 0.000 1
P1 P 0.000 0.000 0.000 1
P2 P 0.000 0.500 0.630 1
P3 P 0.500 0.000 0.370 1
Pt1 Pt 0.000 0.000 0.500 1
Pt2 Pt 0.000 0.500 0.877 1
Pt3 Pt 0.500 0.000 0.123 1
Pt4 Pt 0.500 0.500 0.500 1
# Symmetry: P-4m2

no.,DFT formation energy (eV per atom),total magnetization (μB per atom)
1,-0.22,0.000
2,-0.36,0.000
3,-0.35,0.000
4,-0.50,0.000
5,-0.43,0.000
6,-0.79,0.000
7,-0.88,0.000
8,-0.51,0.000
9,-0.84,0.000
10,-0.90,0.000